Record 1
Below is a geometry-optimized Ba2Cu2S structure, with properties calculated at the PBE level.

Summary:
Energy relative to the elements, uncorrected   -0.373 eV/atom
Excess energy over the best structure of this formula in the dataset   209 meV per atom
Symmetry   P4/mbm (127)

```
Ba2Cu2S
1.0
8.495 0.000 0.000
0.000 8.495 0.000
0.000 0.000 4.546
Ba Cu S
4 4 2
direct
0.188 0.312 0.000 Ba
0.312 0.812 0.000 Ba
0.688 0.188 0.000 Ba
0.812 0.688 0.000 Ba
0.100 0.600 0.500 Cu
0.400 0.100 0.500 Cu
0.600 0.900 0.500 Cu
0.900 0.400 0.500 Cu
0.000 0.000 0.000 S
0.500 0.500 0.000 S
```

---

Record 2
Below is a geometry-optimized BaCu3S structure, with properties calculated at the PBE level.

Summary:
Energy relative to the elements, uncorrected   0.160 eV/atom
Excess energy over the best structure of this formula in the dataset   0 meV per atom
Symmetry   Pm-3m (221)

```
BaCu3S
1.0
4.748 0.000 0.000
0.000 4.748 0.000
0.000 0.000 4.748
Ba Cu S
1 3 1
direct
0.000 0.000 0.000 Ba
0.000 0.500 0.500 Cu
0.500 0.000 0.500 Cu
0.500 0.500 0.000 Cu
0.500 0.500 0.500 S
```

---

Record 3
Below is a geometry-optimized BaCu3S3 structure, with properties calculated at the PBE level.

Summary:
Energy relative to the elements, uncorrected   -0.691 eV/atom
Excess energy over the best structure of this formula in the dataset   61 meV per atom
Symmetry   R-3 (148)

```
BaCu3S3
1.0
3.382 1.953 7.382
-3.382 1.953 7.382
0.000 -3.906 7.382
Ba Cu S
2 6 6
direct
0.167 0.167 0.167 Ba
0.833 0.833 0.833 Ba
0.038 0.710 0.373 Cu
0.290 0.627 0.962 Cu
0.373 0.038 0.710 Cu
0.627 0.962 0.290 Cu
0.710 0.373 0.038 Cu
0.962 0.290 0.627 Cu
0.071 0.402 0.732 S
0.268 0.929 0.598 S
0.402 0.732 0.071 S
0.598 0.268 0.929 S
0.732 0.071 0.402 S
0.929 0.598 0.268 S
```

---

Record 4
Below is a geometry-optimized Ba3CuS structure, with properties calculated at the PBE level.

Summary:
Energy relative to the elements, uncorrected   -0.484 eV/atom
Excess energy over the best structure of this formula in the dataset   0 meV per atom
Symmetry   Pm-3m (221)

```
Ba3CuS
1.0
6.084 0.000 0.000
0.000 6.084 0.000
0.000 0.000 6.084
Ba Cu S
3 1 1
direct
0.000 0.000 0.500 Ba
0.000 0.500 0.000 Ba
0.500 0.000 0.000 Ba
0.500 0.500 0.500 Cu
0.000 0.000 0.000 S
```

---

Record 5
Below is a geometry-optimized BaCu3S structure, with properties calculated at the PBE level.

Summary:
Energy relative to the elements, uncorrected   1.620 eV/atom
Excess energy over the best structure of this formula in the dataset   1459 meV per atom
Symmetry   Pm-3m (221)

```
BaCu3S
1.0
5.445 0.000 0.000
0.000 5.445 0.000
0.000 0.000 5.445
Ba Cu S
1 3 1
direct
0.000 0.000 0.000 Ba
0.000 0.000 0.500 Cu
0.000 0.500 0.000 Cu
0.500 0.000 0.000 Cu
0.500 0.500 0.500 S
```

---

Record 6
Below is a geometry-optimized BaCu4S4 structure, with properties calculated at the PBE level.

Summary:
Energy relative to the elements, uncorrected   -0.611 eV/atom
Symmetry   I4/m (87)

```
BaCu4S4
1.0
-4.751 4.751 1.921
4.751 -4.751 1.921
4.751 4.751 -1.921
Ba Cu S
1 4 4
direct
0.000 0.000 0.000 Ba
0.189 0.654 0.843 Cu
0.346 0.189 0.535 Cu
0.654 0.811 0.465 Cu
0.811 0.346 0.157 Cu
0.231 0.417 0.648 S
0.417 0.769 0.186 S
0.583 0.231 0.814 S
0.769 0.583 0.352 S
```

---

Record 7
Below is a geometry-optimized Ba2Cu2S structure, with properties calculated at the PBE level.

Summary:
Energy relative to the elements, uncorrected   -0.582 eV/atom
Excess energy over the best structure of this formula in the dataset   0 meV per atom
Symmetry   I4/mmm (139)

```
Ba2Cu2S
1.0
-1.893 1.893 9.099
1.893 -1.893 9.099
1.893 1.893 -9.099
Ba Cu S
2 2 1
direct
0.103 0.103 0.000 Ba
0.897 0.897 0.000 Ba
0.250 0.750 0.500 Cu
0.750 0.250 0.500 Cu
0.500 0.500 0.000 S
```

---

Record 8
Below is a geometry-optimized BaCu2S2 structure, with properties calculated at the PBE level.

Summary:
Energy relative to the elements, uncorrected   -0.888 eV/atom
Symmetry   Fddd (70)

```
BaCu2S2
1.0
0.000 5.203 5.255
3.746 0.000 5.255
3.746 5.203 0.000
Ba Cu S
2 4 4
direct
0.125 0.125 0.125 Ba
0.875 0.875 0.875 Ba
0.253 0.497 0.253 Cu
0.497 0.253 0.497 Cu
0.503 0.747 0.503 Cu
0.747 0.503 0.747 Cu
0.179 0.179 0.571 S
0.429 0.429 0.821 S
0.571 0.571 0.179 S
0.821 0.821 0.429 S
```

---

Record 9
Below is a geometry-optimized BaCu2S2 structure, with properties calculated at the PBE level.

Summary:
Energy relative to the elements, uncorrected   -0.915 eV/atom
Symmetry   I4/mmm (139)

```
BaCu2S2
1.0
-1.963 1.963 6.322
1.963 -1.963 6.322
1.963 1.963 -6.322
Ba Cu S
1 2 2
direct
0.000 0.000 0.000 Ba
0.250 0.750 0.500 Cu
0.750 0.250 0.500 Cu
0.360 0.360 0.000 S
0.640 0.640 0.000 S
```

---

Record 10
Below is a geometry-optimized BaCu3S3 structure, with properties calculated at the PBE level.

Summary:
Energy relative to the elements, uncorrected   -0.753 eV/atom
Excess energy over the best structure of this formula in the dataset   0 meV per atom
Symmetry   Pm-3n (223)

```
BaCu3S3
1.0
6.517 0.000 0.000
0.000 6.517 0.000
0.000 0.000 6.517
Ba Cu S
2 6 6
direct
0.000 0.000 0.000 Ba
0.500 0.500 0.500 Ba
0.000 0.250 0.500 Cu
0.000 0.750 0.500 Cu
0.250 0.500 0.000 Cu
0.500 0.000 0.250 Cu
0.500 0.000 0.750 Cu
0.750 0.500 0.000 Cu
0.000 0.500 0.250 S
0.000 0.500 0.750 S
0.250 0.000 0.500 S
0.500 0.250 0.000 S
0.500 0.750 0.000 S
0.750 0.000 0.500 S
```

---

Record 11
Below is a geometry-optimized BaCu2S3 structure, with properties calculated at the PBE level.

Summary:
Energy relative to the elements, uncorrected   -0.774 eV/atom
Symmetry   Pmmn (59)

```
BaCu2S3
1.0
4.430 0.000 0.000
0.000 12.443 0.000
0.000 0.000 4.562
Ba Cu S
2 4 6
direct
0.250 0.250 0.219 Ba
0.750 0.750 0.781 Ba
0.250 0.561 0.255 Cu
0.250 0.939 0.255 Cu
0.750 0.061 0.745 Cu
0.750 0.439 0.745 Cu
0.250 0.505 0.756 S
0.250 0.750 0.278 S
0.250 0.995 0.756 S
0.750 0.005 0.244 S
0.750 0.250 0.722 S
0.750 0.495 0.244 S
```

---

Record 12
Below is a geometry-optimized BaCu2S2 structure, with properties calculated at the PBE level.

Summary:
Energy relative to the elements, uncorrected   -0.930 eV/atom
Symmetry   Pnma (62)

```
BaCu2S2
1.0
9.304 0.000 0.000
0.000 4.055 0.000
0.000 0.000 10.431
Ba Cu S
4 8 8
direct
0.240 0.250 0.176 Ba
0.260 0.750 0.676 Ba
0.740 0.250 0.324 Ba
0.760 0.750 0.824 Ba
0.057 0.250 0.886 Cu
0.083 0.250 0.456 Cu
0.417 0.750 0.956 Cu
0.443 0.750 0.386 Cu
0.557 0.250 0.614 Cu
0.583 0.250 0.044 Cu
0.917 0.750 0.544 Cu
0.943 0.750 0.114 Cu
0.019 0.750 0.333 S
0.157 0.750 0.959 S
0.343 0.250 0.459 S
0.481 0.250 0.833 S
0.519 0.750 0.167 S
0.657 0.750 0.541 S
0.843 0.250 0.041 S
0.981 0.250 0.667 S
```

---

Record 13
Below is a geometry-optimized BaCu2S structure, with properties calculated at the PBE level.

Summary:
Energy relative to the elements, uncorrected   -0.366 eV/atom
Symmetry   I4_1/amd (141)

```
BaCu2S
1.0
-2.386 2.386 8.440
2.386 -2.386 8.440
2.386 2.386 -8.440
Ba Cu S
2 4 2
direct
0.375 0.625 0.750 Ba
0.625 0.375 0.250 Ba
0.000 0.000 0.000 Cu
0.000 0.000 0.500 Cu
0.000 0.500 0.000 Cu
0.500 0.000 0.500 Cu
0.125 0.875 0.250 S
0.875 0.125 0.750 S
```

---

Record 14
Below is a geometry-optimized Ba2CuS structure, with properties calculated at the PBE level.

Summary:
Energy relative to the elements, uncorrected   -0.728 eV/atom
Symmetry   I-42d (122)

```
Ba2CuS
1.0
-4.119 4.119 4.605
4.119 -4.119 4.605
4.119 4.119 -4.605
Ba Cu S
4 2 2
direct
0.106 0.625 0.981 Ba
0.375 0.356 0.481 Ba
0.644 0.125 0.019 Ba
0.875 0.894 0.519 Ba
0.250 0.750 0.500 Cu
0.500 0.500 0.000 Cu
0.000 0.000 0.000 S
0.750 0.250 0.500 S
```

---

Record 15
Below is a geometry-optimized BaCuS4 structure, with properties calculated at the PBE level.

Summary:
Energy relative to the elements, uncorrected   -0.640 eV/atom
Symmetry   Pbcn (60)

```
BaCuS4
1.0
4.884 0.000 0.000
0.000 17.449 0.000
0.000 0.000 6.725
Ba Cu S
4 4 16
direct
0.000 0.153 0.250 Ba
0.000 0.847 0.750 Ba
0.500 0.347 0.750 Ba
0.500 0.653 0.250 Ba
0.000 0.430 0.250 Cu
0.000 0.570 0.750 Cu
0.500 0.070 0.750 Cu
0.500 0.930 0.250 Cu
0.208 0.182 0.710 S
0.208 0.818 0.210 S
0.211 0.009 0.012 S
0.211 0.991 0.512 S
0.289 0.491 0.512 S
0.289 0.509 0.012 S
0.292 0.318 0.210 S
0.292 0.682 0.710 S
0.708 0.318 0.290 S
0.708 0.682 0.790 S
0.711 0.491 0.988 S
0.711 0.509 0.488 S
0.789 0.009 0.488 S
0.789 0.991 0.988 S
0.792 0.182 0.790 S
0.792 0.818 0.290 S
```

---

Record 16
Below is a geometry-optimized BaCu2Sb2S6 structure, with properties calculated at the PBE level.

Summary:
Energy relative to the elements, uncorrected   -0.512 eV/atom
Symmetry   P-1 (2)

```
BaCu2Sb2S6
1.0
5.988 0.000 0.000
2.265 6.725 0.000
2.505 1.316 8.004
Ba Cu Sb S
1 2 2 6
direct
0.000 0.000 0.000 Ba
0.464 0.171 0.673 Cu
0.536 0.829 0.327 Cu
0.127 0.229 0.435 Sb
0.873 0.771 0.565 Sb
0.070 0.355 0.698 S
0.257 0.841 0.580 S
0.425 0.068 0.113 S
0.575 0.932 0.887 S
0.743 0.159 0.420 S
0.930 0.645 0.302 S
```

---

Record 17
Below is a geometry-optimized BaCu2SbS4 structure, with properties calculated at the PBE level.

Summary:
Energy relative to the elements, uncorrected   -0.613 eV/atom
Symmetry   I222 (23)

```
BaCu2SbS4
1.0
-3.231 3.787 4.160
3.231 -3.787 4.160
3.231 3.787 -4.160
Ba Cu Sb S
1 2 1 4
direct
0.000 0.000 0.000 Ba
0.334 0.834 0.500 Cu
0.666 0.166 0.500 Cu
0.500 0.500 0.000 Sb
0.139 0.079 0.585 S
0.495 0.554 0.415 S
0.505 0.921 0.059 S
0.861 0.446 0.941 S
```

---

Record 18
Below is a geometry-optimized BaCuSb2S4 structure, with properties calculated at the PBE level.

Summary:
Energy relative to the elements, uncorrected   -0.616 eV/atom
Symmetry   Cmcm (63)

```
BaCuSb2S4
1.0
2.155 -6.417 0.000
2.155 6.417 0.000
0.000 0.000 13.850
Ba Cu Sb S
2 2 4 8
direct
0.117 0.883 0.750 Ba
0.883 0.117 0.250 Ba
0.150 0.850 0.250 Cu
0.850 0.150 0.750 Cu
0.373 0.627 0.549 Sb
0.373 0.627 0.951 Sb
0.627 0.373 0.049 Sb
0.627 0.373 0.451 Sb
0.000 0.000 0.000 S
0.000 0.000 0.500 S
0.265 0.735 0.113 S
0.265 0.735 0.387 S
0.429 0.571 0.750 S
0.571 0.429 0.250 S
0.735 0.265 0.613 S
0.735 0.265 0.887 S
```

---

Record 19
Below is a geometry-optimized Ba2Cu2SbS6 structure, with properties calculated at the PBE level.

Summary:
Energy relative to the elements, uncorrected   -0.793 eV/atom
Symmetry   R-3m (166)

```
Ba2Cu2SbS6
1.0
3.543 2.045 6.386
-3.543 2.045 6.386
0.000 -4.091 6.386
Ba Cu Sb S
2 2 1 6
direct
0.226 0.226 0.226 Ba
0.774 0.774 0.774 Ba
0.411 0.411 0.411 Cu
0.589 0.589 0.589 Cu
0.000 0.000 0.000 Sb
0.225 0.756 0.756 S
0.244 0.244 0.775 S
0.244 0.775 0.244 S
0.756 0.225 0.756 S
0.756 0.756 0.225 S
0.775 0.244 0.244 S
```

---

Record 20
Below is a geometry-optimized BaScCu2S4 structure, with properties calculated at the PBE level.

Summary:
Energy relative to the elements, uncorrected   -1.095 eV/atom
Symmetry   I222 (23)

```
BaScCu2S4
1.0
-3.260 3.272 4.197
3.260 -3.272 4.197
3.260 3.272 -4.197
Ba Sc Cu S
1 1 2 4
direct
0.000 0.000 0.000 Ba
0.500 0.500 0.000 Sc
0.253 0.753 0.500 Cu
0.747 0.247 0.500 Cu
0.107 0.106 0.588 S
0.482 0.894 0.001 S
0.518 0.519 0.412 S
0.893 0.481 0.999 S
```

---

Record 21
Below is a geometry-optimized Ba2ScCu2S4 structure, with properties calculated at the PBE level.

Summary:
Energy relative to the elements, uncorrected   -1.323 eV/atom
Symmetry   C2/m (12)

```
Ba2ScCu2S4
1.0
7.281 -1.964 0.000
7.281 1.964 0.000
-2.484 0.000 6.787
Ba Sc Cu S
2 1 2 4
direct
0.134 0.134 0.067 Ba
0.866 0.866 0.933 Ba
0.000 0.000 0.500 Sc
0.322 0.322 0.508 Cu
0.678 0.678 0.492 Cu
0.196 0.196 0.681 S
0.482 0.482 0.735 S
0.518 0.518 0.265 S
0.804 0.804 0.319 S
```

---

Record 22
Below is a geometry-optimized Ba3ScCu2S6 structure, with properties calculated at the PBE level.

Summary:
Energy relative to the elements, uncorrected   -1.338 eV/atom
Symmetry   P-3m1 (164)

```
Ba3ScCu2S6
1.0
7.172 0.000 0.000
-3.586 6.211 0.000
0.000 0.000 8.010
Ba Sc Cu S
3 1 2 6
direct
0.000 0.000 0.000 Ba
0.333 0.667 0.635 Ba
0.667 0.333 0.365 Ba
0.000 0.000 0.500 Sc
0.333 0.667 0.246 Cu
0.667 0.333 0.754 Cu
0.161 0.322 0.300 S
0.161 0.839 0.300 S
0.322 0.161 0.700 S
0.678 0.839 0.300 S
0.839 0.161 0.700 S
0.839 0.678 0.700 S
```

---

Which density belongs to each record? In order, 4392 5587 4815 3743 3703 4977 5526 5327 5600 5091 4763 5546 5123 3936 3814 3608 4197 4964 4281 4058 4919 3613 kg/m³.